A plane-wave DFT calculation with PBE was carried out for an optimized crystal structure of CaCoRe.

Output
DFT formation energy in eV/atom: 0.240
Space-group type: Pm

a = 4.9080 Å, b = 4.2697 Å, c = 5.7273 Å
α = 90.00°, β = 110.29°, γ = 90.00°
With the nearest neighbours (Å) after each atom.
Fractional positions:
Ca  0.0000  0.0000  0.0000  2 Re 2.91-3.08, 4 Co 3.18-3.24, 2 Ca 3.21
Ca  0.4990  0.5000  0.9650  4 Co 2.93-3.27, 4 Re 3.11-3.20, 2 Ca 3.21
Co  0.3531  0.5000  0.4229  4 Re 2.45-2.58, 2 Co 2.52
Co  0.6259  0.0000  0.4223  4 Re 2.44-2.63, 2 Co 2.52
Re  0.1935  0.0000  0.5419  4 Co 2.45-2.63, 2 Re 2.61
Re  0.8818  0.5000  0.5260  4 Co 2.44-2.58, 2 Re 2.61

***

A plane-wave DFT calculation with PBE was carried out for an optimized crystal structure of Ca2CoRe.

Output
DFT formation energy in eV/atom: 0.780
Space-group type: P4/mmm

a = 2.8823 Å, b = 2.8823 Å, c = 9.1864 Å
α = 90.00°, β = 90.00°, γ = 90.00°
With the nearest neighbours (Å) after each atom.
Fractional positions:
Ca  0.0000  0.0000  0.2330  4 Ca 2.88, 4 Co 2.96, 4 Re 3.19
Ca  0.0000  0.0000  0.7670  4 Ca 2.88, 4 Co 2.96, 4 Re 3.19
Co  0.5000  0.5000  0.0000  4 Co 2.88, 8 Ca 2.96
Re  0.5000  0.5000  0.5000  4 Re 2.88, 8 Ca 3.19

***

A plane-wave DFT calculation with PBE was carried out for an optimized crystal structure of Ca2CoRe.

Output
DFT formation energy in eV/atom: 0.893
Space-group type: P4/mmm

a = 4.1056 Å, b = 4.1056 Å, c = 4.6040 Å
α = 90.00°, β = 90.00°, γ = 90.00°
With the nearest neighbours (Å) after each atom.
Fractional positions:
Ca  0.0000  0.5000  0.0000  4 Ca 2.90, 4 Co 3.08, 4 Re 3.08
Ca  0.5000  0.0000  0.0000  4 Ca 2.90, 4 Co 3.08, 4 Re 3.08
Co  0.0000  0.0000  0.5000  4 Re 2.90, 8 Ca 3.08
Re  0.5000  0.5000  0.5000  4 Co 2.90, 8 Ca 3.08

***

A plane-wave DFT calculation with PBE was carried out for an optimized crystal structure of CaCo2Re.

Output
DFT formation energy in eV/atom: 0.663
Space-group type: R3m

a = 9.0601 Å, b = 9.0601 Å, c = 9.0601 Å
α = 17.78°, β = 17.78°, γ = 17.78°
With the nearest neighbours (Å) after each atom.
Fractional positions:
Ca  0.0000  0.0000  0.0000  6 Ca 2.80, 3 Co 2.91, 3 Re 3.11
Co  0.4923  0.4923  0.4923  3 Co 2.45, 3 Re 2.58
Co  0.7570  0.7570  0.7570  3 Co 2.45
Re  0.2341  0.2341  0.2341  3 Co 2.58, 6 Re 2.80

***

A plane-wave DFT calculation with PBE was carried out for an optimized crystal structure of CaCoRe.

Output
DFT formation energy in eV/atom: 1.934
Space-group type: P6_3/mmc

a = 5.1114 Å, b = 5.1114 Å, c = 8.7050 Å
α = 90.00°, β = 90.00°, γ = 120.00°
With the nearest neighbours (Å) after each atom.
Fractional positions:
Ca  0.3333  0.6667  0.2500  3 Re 2.95
Ca  0.6667  0.3333  0.7500  3 Re 2.95
Co  0.0000  0.0000  0.0000  2 Re 2.18
Co  0.0000  0.0000  0.5000  2 Re 2.18
Re  0.0000  0.0000  0.2500  2 Co 2.18
Re  0.0000  0.0000  0.7500  2 Co 2.18

***

A plane-wave DFT calculation with PBE was carried out for an optimized crystal structure of CaCoRe.

Output
DFT formation energy in eV/atom: 0.544
Space-group type: P1

a = 2.8165 Å, b = 5.9166 Å, c = 6.4868 Å
α = 108.91°, β = 93.76°, γ = 102.74°
With the nearest neighbours (Å) after each atom.
Fractional positions:
Ca  0.0000  0.0000  0.0000  4 Co 2.50-2.77
Ca  0.2603  0.5844  0.6317  3 Co 2.50-2.70
Co  0.6036  0.3041  0.8318  3 Re 2.63-2.69, 4 Ca 2.70-2.87, 2 Co 2.82
Co  0.6470  0.3204  0.2968  3 Re 2.46-2.56, 4 Ca 2.50-2.68
Re  0.2859  0.6072  0.1686  4 Co 2.48-2.69, 1 Re 2.59
Re  0.8025  0.0187  0.4613  2 Co 2.46-2.63, 1 Re 2.59

***

A plane-wave DFT calculation with PBE was carried out for an optimized crystal structure of Ca2CoRe.

Output
DFT formation energy in eV/atom: 0.825
Space-group type: C2/m

a = 5.5040 Å, b = 5.5040 Å, c = 2.8267 Å
α = 90.31°, β = 90.31°, γ = 113.51°
With the nearest neighbours (Å) after each atom.
Fractional positions:
Ca  0.0000  0.5000  0.0000  4 Ca 2.83-3.02, 4 Co 3.09-3.10, 4 Re 3.09-3.10
Ca  0.5000  0.0000  0.0000  4 Ca 2.83-3.02, 4 Re 3.09-3.10, 4 Co 3.09-3.10
Co  0.0000  0.0000  0.5000  2 Co 2.83, 2 Re 3.02, 8 Ca 3.09-3.10
Re  0.5000  0.5000  0.5000  2 Re 2.83, 2 Co 3.02, 8 Ca 3.09-3.10

***

A plane-wave DFT calculation with PBE was carried out for an optimized crystal structure of Ca2CoRe.

Output
DFT formation energy in eV/atom: 0.484
Space-group type: Imm2

a = 5.8700 Å, b = 5.8700 Å, c = 5.8700 Å
α = 143.59°, β = 130.00°, γ = 63.41°
With the nearest neighbours (Å) after each atom.
Fractional positions:
Ca  0.0000  0.0000  0.0000  4 Re 3.21, 4 Co 3.29-3.37, 4 Ca 3.30-3.36
Ca  0.7177  0.2177  0.5000  2 Re 3.14, 4 Co 3.15, 4 Ca 3.30-3.36
Co  0.2835  0.7835  0.5000  2 Re 2.23
Re  0.4110  0.4110  0.0000  2 Co 2.23

***

A plane-wave DFT calculation with PBE was carried out for an optimized crystal structure of CaCoRe.

Output
DFT formation energy in eV/atom: 0.174
Space-group type: P2_1/m

a = 5.1337 Å, b = 4.1605 Å, c = 5.3993 Å
α = 90.00°, β = 102.86°, γ = 90.00°
With the nearest neighbours (Å) after each atom.
Fractional positions:
Ca  0.2465  0.2500  0.4464  2 Co 2.74-2.91
Ca  0.7535  0.7500  0.5536  2 Co 2.74-2.91
Co  0.0825  0.2500  0.9281  2 Co 2.44, 3 Re 2.44-2.49
Co  0.9175  0.7500  0.0719  2 Co 2.44, 3 Re 2.44-2.49
Re  0.3566  0.7500  0.9668  3 Co 2.44-2.49, 2 Re 2.53
Re  0.6434  0.2500  0.0332  3 Co 2.44-2.49, 2 Re 2.53

***

A plane-wave DFT calculation with PBE was carried out for an optimized crystal structure of CaCo3Re.

Output
DFT formation energy in eV/atom: 0.830
Space-group type: Pm-3m

a = 4.5365 Å, b = 4.5365 Å, c = 4.5365 Å
α = 90.00°, β = 90.00°, γ = 90.00°
With the nearest neighbours (Å) after each atom.
Fractional positions:
Ca  0.0000  0.0000  0.0000  12 Co 3.21
Co  0.0000  0.5000  0.5000  2 Re 2.27
Co  0.5000  0.0000  0.5000  2 Re 2.27
Co  0.5000  0.5000  0.0000  2 Re 2.27
Re  0.5000  0.5000  0.5000  6 Co 2.27

***

A plane-wave DFT calculation with PBE was carried out for an optimized crystal structure of CaCoRe.

Output
DFT formation energy in eV/atom: 0.212
Space-group type: Cc

a = 5.3405 Å, b = 5.3405 Å, c = 4.9998 Å
α = 117.84°, β = 117.84°, γ = 91.44°
With the nearest neighbours (Å) after each atom.
Fractional positions:
Ca  0.1268  0.8732  0.5000  6 Co 2.99-3.20, 6 Re 3.07-3.27, 4 Ca 3.16-3.35
Ca  0.8732  0.1268  0.0000  6 Co 2.99-3.20, 6 Re 3.07-3.27, 4 Ca 3.16-3.35
Co  0.0001  0.5012  0.7547  2 Re 2.38-2.39
Co  0.5012  0.0001  0.2547  2 Re 2.38-2.39
Re  0.4710  0.5282  0.8132  2 Co 2.38-2.39, 2 Re 2.54
Re  0.5282  0.4710  0.3132  2 Co 2.38-2.39, 2 Re 2.54

***

A plane-wave DFT calculation with PBE was carried out for an optimized crystal structure of CaCo2Re.

Output
DFT formation energy in eV/atom: 0.878
Space-group type: F-43m

a = 4.3475 Å, b = 4.3475 Å, c = 4.3475 Å
α = 60.00°, β = 60.00°, γ = 60.00°
With the nearest neighbours (Å) after each atom.
Fractional positions:
Ca  0.0000  0.0000  0.0000  4 Re 2.66, 4 Co 2.66
Co  0.5000  0.5000  0.5000  4 Co 2.66, 4 Re 2.66
Co  0.7500  0.7500  0.7500  4 Co 2.66, 4 Ca 2.66
Re  0.2500  0.2500  0.2500  4 Co 2.66, 4 Ca 2.66